# 1
{"formula": "Sm4YMg2", "functional": "GGA-PBE", "state": "optimized geometry", "total_energy_ev_per_cell": -28.11, "dos_ef_per_ev_fu": 9.561, "e_form_ev_per_atom": 0.0607, "cell": [[-2.4785, 4.8583, -0.8887], [-5.4529, 0.2012, -0.8725], [-3.8950, 2.5135, 7.4235]], "species": ["Sm", "Sm", "Sm", "Sm", "Mg", "Mg", "Y"], "frac_coords": [[0.2066, 0.2066, 0.3802], [0.7934, 0.7934, 0.6198], [0.9329, 0.9329, 0.2012], [0.0671, 0.0671, 0.7988], [0.6489, 0.6489, 0.0534], [0.3511, 0.3511, 0.9466], [0.5000, 0.5000, 0.5000]]}

---

# 2
{"formula": "ReIrAu2", "functional": "GGA-PBE", "state": "optimized geometry", "total_energy_ev_per_cell": -25.98, "dos_ef_per_ev_fu": 3.325, "relative_energy_mev_per_atom": 350, "e_form_ev_per_atom": 0.4717, "cell": [[-2.6251, 0.9574, -4.9995], [-1.0183, -4.2227, -3.7329], [-0.7189, 2.5058, 5.0997]], "species": ["Re", "Au", "Au", "Ir"], "frac_coords": [[0.2715, 0.7715, 0.5000], [0.7350, 0.2350, 0.5000], [0.0129, 0.0129, 0.0000], [0.4806, 0.4806, 0.0000]]}

---

# 3
{"formula": "SbMoP3", "functional": "GGA-PBE", "state": "optimized geometry", "total_energy_ev_per_cell": -21.97, "dos_ef_per_ev_fu": 11.092, "relative_energy_mev_per_atom": 1285, "raw_formation_energy_ev_per_fu": 9.21, "cell": [[-0.2106, -3.7799, -3.0498], [-3.0294, -2.2838, 3.0397], [-3.7962, 2.0321, -2.2565]], "species": ["P", "P", "P", "Mo", "Sb"], "frac_coords": [[0.0000, 0.0000, 0.5000], [0.5000, 0.0000, 0.0000], [0.0000, 0.5000, 0.0000], [0.5000, 0.5000, 0.5000], [0.0000, 0.0000, 0.0000]]}

---

# 4
{"formula": "Pm8Co2Os", "functional": "GGA-PBE", "state": "optimized geometry", "total_energy_ev_per_cell": -63.78, "dos_ef_per_ev_fu": 10.900, "relative_energy_mev_per_atom": 0, "e_form_ev_per_atom": -0.0303, "cell": [[-3.5350, 3.6164, 0.4746], [-1.2440, -2.0397, 6.2767], [8.0632, 4.1442, 1.2978]], "species": ["Pm", "Pm", "Pm", "Pm", "Pm", "Pm", "Pm", "Pm", "Co", "Co", "Os"], "frac_coords": [[0.5866, 0.4215, 0.1731], [0.3295, 0.0391, 0.6591], [0.2000, 0.3442, 0.4000], [0.9552, 0.2085, 0.9103], [0.6705, 0.9609, 0.3409], [0.8000, 0.6558, 0.6000], [0.0448, 0.7915, 0.0897], [0.4134, 0.5785, 0.8269], [0.7875, 0.2637, 0.5751], [0.2125, 0.7363, 0.4249], [0.5000, 0.0000, 0.0000]]}

---

# 5
{"formula": "Hf2ScCoH", "functional": "GGA-PBE", "state": "optimized geometry", "total_energy_ev_per_cell": -27.91, "dos_ef_per_ev_fu": 4.715, "cell": [[-0.3642, -3.1926, -3.9777], [0.2235, -3.2084, 2.5547], [-5.0929, 0.0100, 0.4582]], "species": ["H", "Hf", "Hf", "Co", "Sc"], "frac_coords": [[0.5000, 0.5000, 0.5000], [0.5000, 0.0000, 0.0000], [0.0000, 0.0000, 0.5000], [0.0000, 0.5000, 0.0000], [0.0000, 0.0000, 0.0000]]}

---

# 6
{"formula": "BaAcZn4", "functional": "GGA-PBE", "state": "optimized geometry", "total_energy_ev_per_cell": -11.88, "dos_ef_per_ev_fu": 8.576, "relative_energy_mev_per_atom": 98, "e_form_ev_per_atom": -0.1255, "cell": [[5.9375, 0.0000, 0.0000], [2.9687, 5.1420, 0.0000], [2.9687, 1.7140, 4.8479]], "species": ["Zn", "Zn", "Zn", "Zn", "Ba", "Ac"], "frac_coords": [[0.6234, 0.1298, 0.6234], [0.6234, 0.6234, 0.1298], [0.6234, 0.6234, 0.6234], [0.1298, 0.6234, 0.6234], [0.0000, 0.0000, 0.0000], [0.2500, 0.2500, 0.2500]]}

---

# 7
{"formula": "CaDySi2", "functional": "GGA-PBE", "state": "optimized geometry", "total_energy_ev_per_cell": -40.04, "dos_ef_per_ev_fu": 2.578, "raw_formation_energy_ev_per_fu": -2.57, "cell": [[-2.1938, -2.5700, -1.8189], [-2.5033, -1.3997, 4.9972], [-5.6469, 5.6938, -1.2340]], "species": ["Si", "Si", "Si", "Si", "Dy", "Dy", "Ca", "Ca"], "frac_coords": [[0.0000, 0.3646, 0.0351], [0.5000, 0.8819, 0.4632], [0.5000, 0.1181, 0.9632], [0.0000, 0.6354, 0.5351], [0.0000, 0.8600, 0.1801], [0.0000, 0.1400, 0.6801], [0.5000, 0.3626, 0.3215], [0.5000, 0.6374, 0.8215]]}

---

# 8
{"formula": "BiRu3Se", "functional": "GGA-PBE", "state": "optimized geometry", "total_energy_ev_per_cell": -31.17, "dos_ef_per_ev_fu": 6.172, "relative_energy_mev_per_atom": 0, "raw_formation_energy_ev_per_fu": 4.02, "cell": [[-2.8058, -2.1477, 2.9601], [3.0173, 0.7487, 3.4033], [-2.0665, 4.0093, 0.9501]], "species": ["Ru", "Ru", "Ru", "Se", "Bi"], "frac_coords": [[0.5000, 0.0000, 0.0000], [0.0000, 0.5000, 0.0000], [0.0000, 0.0000, 0.5000], [0.0000, 0.0000, 0.0000], [0.5000, 0.5000, 0.5000]]}

---

Number 1: calculated density 5.69 g/cm³. Number 2: calculated density 19.02 g/cm³. Number 3: calculated density 4.49 g/cm³. Number 4: calculated density 8.25 g/cm³. Number 5: calculated density 7.14 g/cm³. Number 6: calculated density 7.02 g/cm³. Number 7: calculated density 4.79 g/cm³. Number 8: calculated density 10.02 g/cm³.